(1)
VASP calculation (SCAN) on Ag2Hg2Pb at its PBEsol-relaxed geometry.

## Properties
V, Å³ per cell: 212.4
Energy of formation from the pure elements, eV per formula unit: 0.41
Symmetry: P4/mbm (127)
Density of states at the Fermi level, states/eV per cell: 3.18
Crystal system: tetragonal

Cell lengths 3.089, 8.293, 8.293 Å; angles 90.00, 90.00, 90.00 degrees
Fractional positions:
1 Pb 0.000 0.000 0.000
2 Pb 0.000 0.500 0.500
3 Hg 0.000 0.372 0.872
4 Hg 0.000 0.872 0.628
5 Hg 0.000 0.628 0.128
6 Hg 0.000 0.128 0.372
7 Ag 0.500 0.669 0.831
8 Ag 0.500 0.331 0.169
9 Ag 0.500 0.169 0.669
10 Ag 0.500 0.831 0.331

=====

(2)
VASP calculation (SCAN) on NbPN2F at its PBEsol-relaxed geometry.

## Properties
Formation energy without anion corrections, meV/atom: 174
V, Å³ per cell: 49.6
Symmetry: P4/mmm (123)
Density of states at the Fermi level, states/eV per cell: 1.20
Crystal system: tetragonal

Cell lengths 3.588, 3.720, 3.720 Å; angles 90.00, 90.00, 90.00 degrees
Site moments in Bohr magnetons follow the coordinates.
Fractional positions:
1 Nb 0.500 0.500 0.500  1.89
2 N 0.000 0.000 0.500  -0.05
3 N 0.000 0.500 0.000  -0.05
4 F 0.500 0.000 0.000  0.07
5 P 0.000 0.000 0.000  0.01

=====

Number 1: total moment 0.0 μB/f.u.. Number 2: total moment 2.2 μB/f.u..